# 1
Here is an optimized crystal structure of LiTbTcGe2 from Alexandria. Energies are from PBE.

Properties
Total magnetic moment: 0.8 Bohr magnetons per cell
DFT formation energy: -0.410 eV per atom

Cell: 4.0461 4.0461 6.2272 Å, 108.96 108.96 90.00°
With the nearest neighbours (Å) after each atom.
Fractional positions:
Tc 0.7500 0.2500 0.5000  4 Ge 2.50
Li 0.2500 0.7500 0.5000  4 Ge 2.50
Tb 0.0000 0.0000 0.0000  8 Ge 3.14, 4 Tc 3.43, 4 Li 3.43
Ge 0.3826 0.3826 0.7653  2 Li 2.50, 2 Tc 2.50, 1 Ge 2.60
Ge 0.6174 0.6174 0.2347  2 Tc 2.50, 2 Li 2.50, 1 Ge 2.60

# 2
Here is an optimized crystal structure of Li2TbGeTe4 from Alexandria. Energies are from PBE.

Properties
Raw formation energy: -0.794 eV/atom
Total magnetic moment: 0.0 Bohr magnetons per cell

Cell: 4.1757 7.5371 7.3556 Å, 108.81 90.00 90.00°
With the nearest neighbours (Å) after each atom.
Fractional positions:
Li 0.5000 0.0000 0.5000  6 Te 2.96
Ge 0.0000 0.0000 0.0000  6 Te 2.97-2.99
Te 0.0000 0.7608 0.2555  3 Li 2.96-3.06, 1 Ge 2.99, 2 Tb 3.06
Te 0.5000 0.2379 0.2483  3 Li 2.96-3.05, 2 Ge 2.97, 1 Tb 3.09
Te 0.0000 0.2392 0.7445  3 Li 2.96-3.06, 1 Ge 2.99, 2 Tb 3.06
Li 0.0000 0.5000 0.5000  6 Te 3.05-3.06
Te 0.5000 0.7621 0.7517  3 Li 2.96-3.05, 2 Ge 2.97, 1 Tb 3.09
Tb 0.5000 0.5000 0.0000  6 Te 3.06-3.09

# 3
Here is an optimized crystal structure of LiTbGeTe3 from Alexandria. Energies are from PBE.

Properties
Raw formation energy: -0.813 eV/atom
Total magnetic moment: 0.0 Bohr magnetons per cell

Cell: 4.1988 8.7906 9.5686 Å, 103.57 90.00 90.00°
With the nearest neighbours (Å) after each atom.
Fractional positions:
Te 0.2500 0.0945 0.8839  1 Li 2.79, 2 Ge 3.03
Te 0.7500 0.4226 0.1556  3 Ge 2.83-3.02
Ge 0.7500 0.3319 0.8515  5 Te 2.83-3.03
Ge 0.2500 0.6681 0.1485  5 Te 2.83-3.03
Li 0.7500 0.9048 0.4074  4 Te 2.75-2.81, 2 Li 2.99
Te 0.2500 0.5774 0.8444  3 Ge 2.83-3.02
Te 0.2500 0.7659 0.5153  3 Li 2.75-2.81
Te 0.7500 0.9055 0.1161  1 Li 2.79, 2 Ge 3.03
Li 0.2500 0.0952 0.5926  4 Te 2.75-2.81, 2 Li 2.99
Tb 0.7500 0.8169 0.7666  7 Te 3.14-3.25
Te 0.7500 0.2341 0.4847  3 Li 2.75-2.81
Tb 0.2500 0.1831 0.2334  7 Te 3.14-3.25

# 4
Here is an optimized crystal structure of LiTbThGe from Alexandria. Energies are from PBE.

Properties
Total magnetic moment: 0.0 Bohr magnetons per cell
DFT formation energy: -0.274 eV per atom

Cell: 5.1268 5.1268 5.1268 Å, 60.00 60.00 60.00°
With the nearest neighbours (Å) after each atom.
Fractional positions:
Tb 0.0000 0.0000 0.0000  4 Ge 3.14, 4 Li 3.14
Li 0.7500 0.7500 0.7500  4 Tb 3.14, 4 Th 3.14
Th 0.5000 0.5000 0.5000  4 Li 3.14, 4 Ge 3.14
Ge 0.2500 0.2500 0.2500  4 Tb 3.14, 4 Th 3.14

# 5
Here is an optimized crystal structure of LiTbTlGe from Alexandria. Energies are from PBE.

Properties
Total magnetic moment: 0.0 Bohr magnetons per cell
DFT formation energy: -0.338 eV per atom

Cell: 5.0395 5.0395 5.0395 Å, 60.00 60.00 60.00°
With the nearest neighbours (Å) after each atom.
Fractional positions:
Tl 0.7500 0.7500 0.7500  4 Tb 3.09, 4 Li 3.09
Tb 0.0000 0.0000 0.0000  4 Tl 3.09, 4 Ge 3.09
Ge 0.2500 0.2500 0.2500  4 Tb 3.09, 4 Li 3.09
Li 0.5000 0.5000 0.5000  4 Tl 3.09, 4 Ge 3.09

# 6
Here is an optimized crystal structure of Li2TbTm2Ge2 from Alexandria. Energies are from PBE.

Properties
Total magnetic moment: 0.0 Bohr magnetons per cell
DFT formation energy: -0.469 eV per atom

Cell: 4.4480 4.4480 9.1484 Å, 75.93 75.93 60.00°
With the nearest neighbours (Å) after each atom.
Fractional positions:
Li 0.5984 0.5984 0.2047  3 Ge 2.57
Ge 0.7377 0.7377 0.7869  3 Li 2.57
Tm 0.1274 0.1274 0.6179  3 Ge 2.97, 3 Li 3.00, 3 Tm 3.30
Li 0.4016 0.4016 0.7953  3 Ge 2.57
Ge 0.2623 0.2623 0.2131  3 Li 2.57
Tb 0.0000 0.0000 0.0000  6 Li 3.13, 6 Ge 3.18, 2 Tm 3.35
Tm 0.8726 0.8726 0.3821  3 Ge 2.97, 3 Li 3.00, 3 Tm 3.30

# 7
Here is an optimized crystal structure of LiTbYGe from Alexandria. Energies are from PBE.

Properties
Total magnetic moment: 0.0 Bohr magnetons per cell
DFT formation energy: -0.433 eV per atom

Cell: 5.0307 5.0307 5.0307 Å, 60.00 60.00 60.00°
With the nearest neighbours (Å) after each atom.
Fractional positions:
Li 0.7500 0.7500 0.7500  4 Y 3.08, 4 Tb 3.08
Ge 0.2500 0.2500 0.2500  4 Tb 3.08, 4 Y 3.08
Tb 0.0000 0.0000 0.0000  4 Ge 3.08, 4 Li 3.08
Y 0.5000 0.5000 0.5000  4 Ge 3.08, 4 Li 3.08

# 8
Here is an optimized crystal structure of Li2Tb2YGe2 from Alexandria. Energies are from PBE.

Properties
Total magnetic moment: 0.0 Bohr magnetons per cell
DFT formation energy: -0.490 eV per atom

Cell: 4.4363 4.4363 9.4789 Å, 76.47 76.47 60.00°
With the nearest neighbours (Å) after each atom.
Fractional positions:
Li 0.6039 0.6039 0.1882  3 Ge 2.56
Ge 0.7338 0.7338 0.7985  3 Li 2.56
Li 0.3961 0.3961 0.8118  3 Ge 2.56
Tb 0.8745 0.8745 0.3765  3 Ge 3.02, 3 Li 3.08
Tb 0.1255 0.1255 0.6235  3 Ge 3.02, 3 Li 3.08
Ge 0.2662 0.2662 0.2015  3 Li 2.56
Y 0.0000 0.0000 0.0000  6 Li 3.08, 6 Ge 3.15, 2 Tb 3.44

Number 1: ρ 7.50 Mg/m³, DFT total energy -28.2 eV for the cell shown. Number 2: ρ 5.73 Mg/m³, DFT total energy -32.0 eV for the cell shown. Number 3: ρ 6.01 Mg/m³, DFT total energy -50.9 eV for the cell shown. Number 4: ρ 8.20 Mg/m³, DFT total energy -19.7 eV for the cell shown. Number 5: ρ 8.13 Mg/m³, DFT total energy -14.9 eV for the cell shown. Number 6: ρ 7.24 Mg/m³, DFT total energy -29.9 eV for the cell shown. Number 7: ρ 6.04 Mg/m³, DFT total energy -19.4 eV for the cell shown. Number 8: ρ 6.04 Mg/m³, DFT total energy -32.2 eV for the cell shown.